Below is a relaxed Al2ZnSi crystal, with properties calculated at the GGA-PBEsol level.

Cell and atoms, written as CIF:
```
data_Al2ZnSi
_space_group_name_H-M_alt 'P 1'
_space_group_IT_number 1
_cell_length_a 4.4768
_cell_length_b 4.4768
_cell_length_c 4.4768
_cell_angle_alpha 60.00
_cell_angle_beta 60.00
_cell_angle_gamma 60.00
loop_
_space_group_symop_operation_xyz
'x,y,z'
loop_
_atom_site_label
_atom_site_type_symbol
_atom_site_fract_x
_atom_site_fract_y
_atom_site_fract_z
Al1 Al 0.0000 0.0000 0.0000
Al2 Al 0.2500 0.2500 0.2500
Zn1 Zn 0.5000 0.5000 0.5000
Si1 Si 0.7500 0.7500 0.7500
```

Computed properties:
* electronic total energy: -14.59 eV per formula unit
* total magnetization: 0.00 μB per formula unit